VASP calculation (PBE-GGA) on Mg3ZnO after structural relaxation.

Calculated values
**Energy above the most stable polymorph in this dataset**: 0 meV/atom
**Raw formation energy**: -0.9175 eV/atom
**DFT total energy**: -3.1207 eV per atom

Geometry as CIF:
```
data_Mg3ZnO
_chemical_formula_sum 'Mg3 Zn1 O1'
_cell_length_a 4.275
_cell_length_b 4.275
_cell_length_c 4.275
_cell_angle_alpha 90.00
_cell_angle_beta 90.00
_cell_angle_gamma 90.00
_symmetry_space_group_name_H-M 'P m -3 m'
_symmetry_Int_Tables_number 221
_symmetry_space_group_name_Hall '-P 4 2 3'
loop_
_atom_site_label
_atom_site_type_symbol
_atom_site_fract_x
_atom_site_fract_y
_atom_site_fract_z
_atom_site_occupancy
Mg1 Mg 0.000 0.000 0.500 1
Zn1 Zn 0.500 0.500 0.500 1
O1 O 0.000 0.000 0.000 1
```